# Tb2Cd12Ag5, relaxed, DFT PBE
# E   -110.08 eV for the cell shown
data_Tb2Cd12Ag5
_space_group_name_H-M_alt 'R -3 m'
_space_group_IT_number 166
_space_group_name_Hall '-R 3 2"'
_cell_length_a 9.8959
_cell_length_b 9.8959
_cell_length_c 14.6568
_cell_angle_alpha 90.00
_cell_angle_beta 90.00
_cell_angle_gamma 120.00
loop_
_atom_site_label
_atom_site_type_symbol
_atom_site_fract_x
_atom_site_fract_y
_atom_site_fract_z
Tb1 Tb 0.0000 0.0000 0.1695
Cd1 Cd 0.0000 0.2983 0.5000
Cd2 Cd 0.0027 0.5014 0.6489
Ag1 Ag 0.0000 0.0000 0.3952
Ag2 Ag 0.0000 0.5000 0.0000